Record 1
Below is crystalline Ba2AcGaSe5 at its relaxed geometry, with properties calculated at the PBE level.

a b c (Å): 4.3767 19.4690 13.7645
angles (deg): 90.00 90.00 90.00
Space group Cmc2_1 (No. 36)
Unique sites:
1 Ba 0.0000 0.1182 0.0000 [4 per cell]
2 Ba 0.0000 0.1215 0.6548 [4 per cell]
3 Ac 0.0000 0.1968 0.3483 [4 per cell]
4 Ga 0.0000 0.4466 0.7285 [4 per cell]
5 Se 0.0000 0.0302 0.3253 [4 per cell]
6 Se 0.0000 0.2985 0.0018 [4 per cell]
7 Se 0.0000 0.3233 0.6842 [4 per cell]
8 Se 0.0000 0.3506 0.3285 [4 per cell]
9 Se 0.0000 0.4954 0.0767 [4 per cell]

- magnetic moment (μB per formula unit) = 0.0
- E_tot (eV/cell) = -173.099

Record 2
Below is crystalline LiAl2H8 at its relaxed geometry, with properties calculated at the PBE level.

a b c (Å): 4.1908 4.1908 9.0130
angles (deg): 90.00 90.00 90.00
Space group I4/mmm (No. 139)
Unique sites:
1 Li 0.0000 0.0000 0.0000 [2 per cell]
2 Al 0.0000 0.5000 0.2500 [4 per cell]
3 H 0.2437 0.2437 0.3675 [16 per cell]

- Fermi-level density of states (states/eV per atom) = 0.0799
- magnetic moment (μB per formula unit) = 0.0
- E_tot (eV/cell) = -68.900

Record 3
Below is crystalline ReOs2F at its relaxed geometry, with properties calculated at the PBE level.

a b c (Å): 6.0477 6.0477 6.0477
angles (deg): 90.00 90.00 90.00
Space group Fm-3m (No. 225)
Unique sites:
1 Re 0.0000 0.0000 0.0000 [4 per cell]
2 Os 0.2500 0.2500 0.2500 [8 per cell]
3 F 0.0000 0.0000 0.5000 [4 per cell]

- ΔE to the lowest computed polymorph (meV per atom) = 0.0
- Fermi-level density of states (states/eV per atom) = 1.0017
- magnetic moment (μB per formula unit) = 0.0

Record 4
Below is crystalline Ho2UNbN4 at its relaxed geometry, with properties calculated at the PBE level.

a b c (Å): 5.7195 3.3666 5.8486
angles (deg): 90.00 108.97 90.00
Space group P2/m (No. 10)
Unique sites:
1 Ho 0.0000 0.0000 0.0000 [1 per cell]
2 Ho 0.5000 0.5000 0.0000 [1 per cell]
3 U 0.0000 0.5000 0.5000 [1 per cell]
4 Nb 0.5000 0.0000 0.5000 [1 per cell]
5 N 0.2461 0.0000 0.7370 [2 per cell]
6 N 0.2542 0.5000 0.2688 [2 per cell]

- Fermi-level density of states (states/eV per atom) = 0.6141
- magnetic moment (μB per formula unit) = 0.3
- E_tot (eV/cell) = -75.600

Record 5
Below is crystalline YAgPd2 at its relaxed geometry, with properties calculated at the PBE level.

a b c (Å): 4.3277 4.3277 3.9332
angles (deg): 90.00 90.00 90.00
Space group P4/mmm (No. 123)
Unique sites:
1 Y 0.0000 0.0000 0.0000 [1 per cell]
2 Ag 0.5000 0.5000 0.0000 [1 per cell]
3 Pd 0.0000 0.5000 0.5000 [2 per cell]

- ΔE to the lowest computed polymorph (meV per atom) = 0.0
- Fermi-level density of states (states/eV per atom) = 0.3613
- magnetic moment (μB per formula unit) = 0.0
- formation enthalpy at 0 K (eV per formula unit) = -2.64

Record 6
Below is crystalline PaTeI3 at its relaxed geometry, with properties calculated at the PBE level.

a b c (Å): 7.9362 8.3387 14.9361
angles (deg): 90.00 99.48 90.00
Space group P2/c (No. 13)
Unique sites:
1 Pa 0.0760 0.1264 0.1420 [4 per cell]
2 Te 0.1616 0.3870 0.2998 [4 per cell]
3 I 0.1539 0.1933 0.5443 [4 per cell]
4 I 0.2417 0.0707 0.8096 [4 per cell]
5 I 0.3676 0.2785 0.0755 [4 per cell]

- Fermi-level density of states (states/eV per atom) = 0.7928
- magnetic moment (μB per formula unit) = 1.0
- E_tot (eV/cell) = -85.829

Question: Number 3 is which compound?
Answer: ReOs2F

Question: The highest magnetic moment belongs to which entry?
Answer: PaTeI3

Question: What is the formula in the fourth record?
Answer: Ho2UNbN4